1.
! SCAN CuPbCl3, PBEsol geometry; values from VASP
&SYSTEM
  ibrav = 0, nat = 5, ntyp = 3
/
ATOMIC_SPECIES
Cl 35.45 Cl.upf
Pb 207.20 Pb.upf
Cu 63.55 Cu.upf
CELL_PARAMETERS angstrom
4.5672 0.0100 -0.0246
0.0311 4.5672 -0.0246
0.2712 0.2700 5.8682
ATOMIC_POSITIONS crystal
Cl 0.5292 0.5292 0.0621
Cl 0.0122 0.5094 0.5874
Cl 0.5094 0.0122 0.5874
Pb 0.9595 0.9595 0.8822
Cu 0.5135 0.5135 0.4402
! - Total energy: -23.823 eV per atom

---

2.
! SCAN SnAs2CSe, PBEsol geometry; values from VASP
&SYSTEM
  ibrav = 0, nat = 5, ntyp = 4
/
ATOMIC_SPECIES
Se 78.96 Se.upf
As 74.92 As.upf
C 12.01 C.upf
Sn 118.71 Sn.upf
CELL_PARAMETERS angstrom
4.4604 0.0000 0.0000
0.0000 4.4604 0.0000
0.0000 0.0000 4.4210
ATOMIC_POSITIONS crystal
Se 0.0000 0.0000 0.5000
As 0.0000 0.5000 0.0000
As 0.5000 0.0000 0.0000
C 0.0000 0.0000 0.0000
Sn 0.5000 0.5000 0.5000
! - Total energy: -20.269 eV per atom

---

3.
! SCAN KCd2, PBEsol geometry; values from VASP
&SYSTEM
  ibrav = 0, nat = 12, ntyp = 2
/
ATOMIC_SPECIES
K 39.10 K.upf
Cd 112.41 Cd.upf
CELL_PARAMETERS angstrom
6.2081 0.0000 0.0000
-3.1041 5.3764 0.0000
0.0000 0.0000 9.9612
ATOMIC_POSITIONS crystal
K 0.6667 0.3333 0.9398
K 0.6667 0.3333 0.5602
K 0.3333 0.6667 0.4398
K 0.3333 0.6667 0.0602
Cd 0.8327 0.1673 0.2500
Cd 0.3346 0.1673 0.2500
Cd 0.1673 0.8327 0.7500
Cd 0.6654 0.8327 0.7500
Cd 0.8327 0.6654 0.2500
Cd 0.1673 0.3346 0.7500
Cd 0.0000 0.0000 0.5000
Cd 0.0000 0.0000 0.0000
! - DFT formation energy: -0.12 eV/atom

---

4.
! SCAN KAs2SeF, PBEsol geometry; values from VASP
&SYSTEM
  ibrav = 0, nat = 5, ntyp = 4
/
ATOMIC_SPECIES
F 19.00 F.upf
Se 78.96 Se.upf
As 74.92 As.upf
K 39.10 K.upf
CELL_PARAMETERS angstrom
4.4796 0.0000 0.0000
0.0000 4.4796 0.0000
0.0000 0.0000 5.2568
ATOMIC_POSITIONS crystal
F 0.0000 0.0000 0.0000
Se 0.0000 0.0000 0.5000
As 0.0000 0.5000 0.0000
As 0.5000 0.0000 0.0000
K 0.5000 0.5000 0.5000
! - Total energy: -14.526 eV per atom

---

5.
! SCAN La2ScW, PBEsol geometry; values from VASP
&SYSTEM
  ibrav = 0, nat = 4, ntyp = 3
/
ATOMIC_SPECIES
Sc 44.96 Sc.upf
La 138.91 La.upf
W 183.84 W.upf
CELL_PARAMETERS angstrom
-3.2203 1.4307 -1.0219
0.9071 -0.4749 -3.5232
-3.0616 -6.7996 0.1283
ATOMIC_POSITIONS crystal
Sc 0.0000 0.0000 0.5537
La 0.5000 0.5000 0.2828
La 0.0000 0.0000 0.9582
W 0.5000 0.5000 0.7053
! - Relative energy among the computed polymorphs: 0.000 eV/atom
! - DFT formation energy: 0.42 eV/atom

---

6.
! SCAN CaMg14CrO16, PBEsol geometry; values from VASP
&SYSTEM
  ibrav = 0, nat = 32, ntyp = 4
/
ATOMIC_SPECIES
O 16.00 O.upf
Mg 24.30 Mg.upf
Cr 52.00 Cr.upf
Ca 40.08 Ca.upf
CELL_PARAMETERS angstrom
4.2923 0.0000 0.0000
0.0000 8.4841 0.0000
0.0000 0.0000 8.5798
ATOMIC_POSITIONS crystal
O 0.0000 0.7494 0.5000
O 0.5000 0.2501 0.2493
O 0.0000 0.0000 0.7373
O 0.5000 0.5000 0.5000
O 0.0000 0.2633 0.0000
O 0.0000 0.0000 0.2627
O 0.0000 0.5000 0.7395
O 0.5000 0.0000 0.5000
O 0.5000 0.5000 0.0000
O 0.5000 0.0000 0.0000
O 0.5000 0.7499 0.2493
O 0.0000 0.2506 0.5000
O 0.0000 0.5000 0.2605
O 0.0000 0.7367 0.0000
O 0.5000 0.7499 0.7507
O 0.5000 0.2501 0.7507
Mg 0.0000 0.2535 0.7452
Mg 0.0000 0.2535 0.2548
Mg 0.0000 0.0000 0.5000
Mg 0.5000 0.5000 0.7481
Mg 0.5000 0.5000 0.2519
Mg 0.5000 0.7445 0.0000
Mg 0.0000 0.7465 0.7452
Mg 0.5000 0.2555 0.0000
Mg 0.0000 0.7465 0.2548
Mg 0.5000 0.2507 0.5000
Mg 0.5000 0.7493 0.5000
Mg 0.5000 0.0000 0.2557
Mg 0.5000 0.0000 0.7443
Mg 0.0000 0.5000 0.5000
Cr 0.0000 0.5000 0.0000
Ca 0.0000 0.0000 0.0000
! - Total energy: -9.072 eV per atom

---

7.
! SCAN Al11O18, PBEsol geometry; values from VASP
&SYSTEM
  ibrav = 0, nat = 58, ntyp = 2
/
ATOMIC_SPECIES
Al 26.98 Al.upf
O 16.00 O.upf
CELL_PARAMETERS angstrom
5.6267 0.0007 0.0000
-2.8080 4.8694 0.0000
0.0000 0.0000 22.7605
ATOMIC_POSITIONS crystal
Al 0.6668 0.8334 0.3934
Al 0.6641 0.3320 0.1733
Al 0.0000 0.0000 0.5000
Al 0.1700 0.8353 0.1059
Al 0.3324 0.6662 0.5247
Al 0.3324 0.6662 0.9753
Al 0.1700 0.8353 0.3941
Al 0.8300 0.1647 0.8941
Al 0.3359 0.6680 0.8267
Al 0.6676 0.3338 0.0247
Al 0.3359 0.6680 0.6733
Al 0.1700 0.3348 0.3942
Al 0.8300 0.6652 0.8942
Al 0.6641 0.3320 0.3267
Al 0.1700 0.3348 0.1058
Al 0.8300 0.6652 0.6058
Al 0.6668 0.8334 0.1066
Al 0.3332 0.1666 0.6066
Al 0.8300 0.1647 0.6059
Al 0.0000 0.0000 0.0000
Al 0.6676 0.3338 0.4753
Al 0.3332 0.1666 0.8934
O 0.0037 0.5018 0.3557
O 0.0022 0.0011 0.1404
O 0.6794 0.3392 0.2500
O 0.6855 0.8427 0.9511
O 0.8448 0.6863 0.4504
O 0.3145 0.1573 0.4511
O 0.0022 0.0011 0.3596
O 0.9963 0.4982 0.8557
O 0.8448 0.1586 0.0496
O 0.4995 0.9981 0.1437
O 0.3206 0.6608 0.7500
O 0.9963 0.4982 0.6443
O 0.1552 0.8414 0.5496
O 0.1552 0.3137 0.5496
O 0.6666 0.3333 0.9447
O 0.6666 0.3333 0.5553
O 0.1552 0.8414 0.9504
O 0.4995 0.9981 0.3563
O 0.1552 0.3137 0.9504
O 0.3145 0.1573 0.0489
O 0.0911 0.5403 0.2500
O 0.6855 0.8427 0.5489
O 0.8448 0.1586 0.4504
O 0.3334 0.6667 0.0553
O 0.5005 0.0019 0.6437
O 0.4995 0.5013 0.3563
O 0.3334 0.6667 0.4447
O 0.5005 0.0019 0.8563
O 0.9978 0.9989 0.8596
O 0.4995 0.5013 0.1437
O 0.8448 0.6863 0.0496
O 0.5005 0.4987 0.8563
O 0.9978 0.9989 0.6404
O 0.9089 0.4597 0.7500
O 0.0037 0.5018 0.1443
O 0.5005 0.4987 0.6437
! - Total energy: -9.849 eV per atom

---

8.
! SCAN Li2BeIr, PBEsol geometry; values from VASP
&SYSTEM
  ibrav = 0, nat = 4, ntyp = 3
/
ATOMIC_SPECIES
Li 6.94 Li.upf
Be 9.01 Be.upf
Ir 192.22 Ir.upf
CELL_PARAMETERS angstrom
2.8654 0.0000 0.0000
0.0000 3.6931 0.0000
-1.4327 -1.8465 4.2382
ATOMIC_POSITIONS crystal
Li 0.7359 0.7359 0.4718
Li 0.2641 0.2641 0.5282
Be 0.0000 0.5000 0.0000
Ir 0.5000 0.0000 0.0000
! - DFT formation energy: -0.35 eV/atom

---

9.
! SCAN Ca2ScMo2, PBEsol geometry; values from VASP
&SYSTEM
  ibrav = 0, nat = 5, ntyp = 3
/
ATOMIC_SPECIES
Mo 95.94 Mo.upf
Sc 44.96 Sc.upf
Ca 40.08 Ca.upf
CELL_PARAMETERS angstrom
-0.9410 -2.4717 2.2715
0.0172 -2.3625 -2.5636
11.1036 0.2589 2.2063
ATOMIC_POSITIONS crystal
Mo 0.2500 0.7500 0.5000
Mo 0.7500 0.2500 0.5000
Sc 0.0000 0.0000 0.0000
Ca 0.3762 0.3762 0.7525
Ca 0.6238 0.6238 0.2475
! - DFT formation energy: 0.68 eV/atom

---

10.
! SCAN LiGa2Pd2, PBEsol geometry; values from VASP
&SYSTEM
  ibrav = 0, nat = 10, ntyp = 3
/
ATOMIC_SPECIES
Pd 106.42 Pd.upf
Ga 69.72 Ga.upf
Li 6.94 Li.upf
CELL_PARAMETERS angstrom
-0.2094 -2.7862 -0.5189
6.3623 0.1844 -3.5569
3.5210 -1.4238 6.2241
ATOMIC_POSITIONS crystal
Pd 0.0000 0.8556 0.6444
Pd 0.0000 0.6444 0.1444
Pd 0.0000 0.3556 0.8556
Pd 0.0000 0.1444 0.3556
Ga 0.5000 0.6539 0.8461
Ga 0.5000 0.8461 0.3461
Ga 0.5000 0.3461 0.1539
Ga 0.5000 0.1539 0.6539
Li 0.0000 0.0000 0.0000
Li 0.0000 0.5000 0.5000
! - DFT formation energy: -0.65 eV/atom

---

11.
! SCAN CaY2Pt2, PBEsol geometry; values from VASP
&SYSTEM
  ibrav = 0, nat = 5, ntyp = 3
/
ATOMIC_SPECIES
Pt 195.08 Pt.upf
Y 88.91 Y.upf
Ca 40.08 Ca.upf
CELL_PARAMETERS angstrom
-0.3563 -2.7116 -4.3579
-3.2233 -3.2814 2.3053
-2.2406 5.9124 -0.4585
ATOMIC_POSITIONS crystal
Pt 0.7500 0.2500 0.5000
Pt 0.2500 0.7500 0.5000
Y 0.6637 0.6637 0.3274
Y 0.3363 0.3363 0.6726
Ca 0.0000 0.0000 0.0000
! - Relative energy among the computed polymorphs: 0.442 eV/atom
! - DFT formation energy: -0.75 eV/atom

---

12.
! SCAN MnAl2Pt, PBEsol geometry; values from VASP
&SYSTEM
  ibrav = 0, nat = 4, ntyp = 3
/
ATOMIC_SPECIES
Mn 54.94 Mn.upf
Pt 195.08 Pt.upf
Al 26.98 Al.upf
CELL_PARAMETERS angstrom
2.8511 0.0000 0.0000
0.0000 4.3591 0.1211
-1.4256 -1.4717 4.3438
ATOMIC_POSITIONS crystal
Mn 0.4965 0.4411 0.9931
Pt 0.2514 0.8014 0.5029
Al 0.9965 0.9521 0.9930
Al 0.7556 0.3054 0.5111
! - DFT formation energy: -0.77 eV/atom

---

13.
! SCAN BaYOs2, PBEsol geometry; values from VASP
&SYSTEM
  ibrav = 0, nat = 4, ntyp = 3
/
ATOMIC_SPECIES
Os 190.23 Os.upf
Y 88.91 Y.upf
Ba 137.33 Ba.upf
CELL_PARAMETERS angstrom
-0.3039 -3.2851 -0.6058
-0.4656 -0.2674 3.3110
-8.8084 1.0279 -1.1555
ATOMIC_POSITIONS crystal
Os 0.0000 0.0000 0.9122
Os 0.5000 0.5000 0.8060
Y 0.0000 0.0000 0.5883
Ba 0.5000 0.5000 0.1935
! - Relative energy among the computed polymorphs: 0.000 eV/atom
! - DFT formation energy: 0.44 eV/atom

---

14.
! SCAN YZr2Ni, PBEsol geometry; values from VASP
&SYSTEM
  ibrav = 0, nat = 4, ntyp = 3
/
ATOMIC_SPECIES
Y 88.91 Y.upf
Ni 58.69 Ni.upf
Zr 91.22 Zr.upf
CELL_PARAMETERS angstrom
-1.0066 -0.8685 -3.9334
3.7634 -1.6484 -0.5991
-1.6285 -4.2069 1.3457
ATOMIC_POSITIONS crystal
Y 0.0000 0.0000 0.5000
Ni 0.5000 0.5000 0.5000
Zr 0.5000 0.0000 0.0000
Zr 0.0000 0.5000 0.0000
! - Relative energy among the computed polymorphs: 0.316 eV/atom
! - DFT formation energy: 0.15 eV/atom

---

15.
! SCAN ZnHg2Au, PBEsol geometry; values from VASP
&SYSTEM
  ibrav = 0, nat = 4, ntyp = 3
/
ATOMIC_SPECIES
Zn 65.41 Zn.upf
Au 196.97 Au.upf
Hg 200.59 Hg.upf
CELL_PARAMETERS angstrom
3.0621 0.0000 0.0000
0.0000 3.0621 0.0000
0.0000 0.0000 8.0196
ATOMIC_POSITIONS crystal
Zn 0.0000 0.0000 0.5229
Au 0.5000 0.5000 0.7154
Hg 0.5000 0.5000 0.2793
Hg 0.0000 0.0000 0.9824
! - DFT formation energy: 0.04 eV/atom

---

16.
! SCAN CaHf2AgPt, PBEsol geometry; values from VASP
&SYSTEM
  ibrav = 0, nat = 5, ntyp = 4
/
ATOMIC_SPECIES
Pt 195.08 Pt.upf
Hf 178.49 Hf.upf
Ag 107.87 Ag.upf
Ca 40.08 Ca.upf
CELL_PARAMETERS angstrom
4.9822 0.0000 0.0000
0.0000 4.9822 0.0000
0.0000 0.0000 5.2052
ATOMIC_POSITIONS crystal
Pt 0.0000 0.0000 0.0000
Hf 0.0000 0.5000 0.0000
Hf 0.5000 0.0000 0.0000
Ag 0.0000 0.0000 0.5000
Ca 0.5000 0.5000 0.5000
! - DFT formation energy: 0.12 eV/atom

---

17.
! SCAN Fe3RePt, PBEsol geometry; values from VASP
&SYSTEM
  ibrav = 0, nat = 5, ntyp = 3
/
ATOMIC_SPECIES
Re 186.21 Re.upf
Fe 55.84 Fe.upf
Pt 195.08 Pt.upf
CELL_PARAMETERS angstrom
-1.8850 -3.4318 1.8816
2.7534 0.3215 3.3446
-2.7815 2.6439 2.0356
ATOMIC_POSITIONS crystal
Re 0.0000 0.0000 0.0000
Fe 0.0000 0.5000 0.0000
Fe 0.0000 0.0000 0.5000
Fe 0.5000 0.0000 0.0000
Pt 0.5000 0.5000 0.5000
! - DFT formation energy: 1.63 eV/atom

---

18.
! SCAN RuPtSe2, PBEsol geometry; values from VASP
&SYSTEM
  ibrav = 0, nat = 4, ntyp = 3
/
ATOMIC_SPECIES
Ru 101.07 Ru.upf
Se 78.96 Se.upf
Pt 195.08 Pt.upf
CELL_PARAMETERS angstrom
-0.5278 2.5085 1.2429
-0.3248 -2.4023 1.4965
8.6490 0.4955 2.6726
ATOMIC_POSITIONS crystal
Ru 0.5000 0.5000 0.0000
Se 0.0000 0.0000 0.2300
Se 0.0000 0.0000 0.7700
Pt 0.5000 0.5000 0.5000
! - Relative energy among the computed polymorphs: 0.502 eV/atom

---

19.
! SCAN MnAl2Cr, PBEsol geometry; values from VASP
&SYSTEM
  ibrav = 0, nat = 4, ntyp = 3
/
ATOMIC_SPECIES
Mn 54.94 Mn.upf
Cr 52.00 Cr.upf
Al 26.98 Al.upf
CELL_PARAMETERS angstrom
2.9427 0.0000 0.0000
0.0000 4.1293 0.0000
-1.4714 -2.0646 4.0970
ATOMIC_POSITIONS crystal
Mn 0.2305 0.7305 0.4609
Cr 0.5236 0.5236 0.0471
Al 0.9843 0.9843 0.9687
Al 0.7616 0.2616 0.5233
! - DFT formation energy: -0.23 eV/atom

---

20.
! SCAN KCaMnTl2, PBEsol geometry; values from VASP
&SYSTEM
  ibrav = 0, nat = 5, ntyp = 4
/
ATOMIC_SPECIES
K 39.10 K.upf
Mn 54.94 Mn.upf
Tl 204.38 Tl.upf
Ca 40.08 Ca.upf
CELL_PARAMETERS angstrom
-3.9847 -0.8049 -3.2692
3.2114 -2.4297 -3.3161
-1.0210 -4.5906 2.3748
ATOMIC_POSITIONS crystal
K 0.5000 0.5000 0.5000
Mn 0.0000 0.0000 0.0000
Tl 0.5000 0.0000 0.0000
Tl 0.0000 0.5000 0.0000
Ca 0.0000 0.0000 0.5000
! - DFT formation energy: 0.03 eV/atom